SrTeCl2 after structural relaxation. Source: the Alexandria database, functional GGA-PBE.

## Properties
Formation energy without anion corrections in meV/atom: -1274.3
Polymorph energy (0 for the lowest one) in meV/atom: 175
Crystal system: monoclinic
DOS at the Fermi energy in states/eV/f.u.: 1.97

Lattice parameters (Å, degrees): 6.8119 6.8119 4.8814 68.99 68.99 31.99
Closest atoms and distances in Å follow each position.
Sites, in units of the cell vectors:
Te1 0.2358 0.2358 0.2647  4 Cl 3.13
Cl1 0.0076 0.0076 0.9922  4 Sr 3.10-3.11
Cl2 0.7806 0.7806 0.7198  2 Sr 3.03, 4 Te 3.13
Sr1 0.4760 0.4760 0.5232  6 Cl 3.03-3.11



SrTeCl after structural relaxation. Source: the Alexandria database, functional GGA-PBE.

## Properties
Formation energy without anion corrections in meV/atom: -1444.2
Crystal system: trigonal
DOS at the Fermi energy in states/eV/f.u.: 1.86

Lattice parameters (Å, degrees): 4.2234 4.2234 7.8386 90.00 90.00 120.00
Closest atoms and distances in Å follow each position.
Sites, in units of the cell vectors:
Te1 0.3333 0.6667 0.5965  3 Sr 3.39
Sr1 0.6667 0.3333 0.2969  3 Cl 2.86
Cl1 0.0000 0.0000 0.1065  3 Sr 2.86



SrTeCl6 after structural relaxation. Source: the Alexandria database, functional GGA-PBE.

## Properties
Formation energy without anion corrections in meV/atom: -1255.2
Crystal system: monoclinic
DOS at the Fermi energy in states/eV/f.u.: 0.00

Lattice parameters (Å, degrees): 7.1044 7.1044 6.8296 97.59 97.59 121.59
Closest atoms and distances in Å follow each position.
Sites, in units of the cell vectors:
Te1 0.5000 0.5000 0.5000  6 Cl 2.56-2.58
Sr1 0.0000 0.0000 0.0000  6 Cl 2.93
Cl1 0.1409 0.4309 0.2702  1 Te 2.58
Cl2 0.8591 0.5691 0.7298  1 Te 2.58
Cl3 0.2557 0.2557 0.7212  1 Te 2.56
Cl4 0.7443 0.7443 0.2788  1 Te 2.56
Cl5 0.4309 0.1409 0.2702  1 Te 2.58
Cl6 0.5691 0.8591 0.7298  1 Te 2.58